This record from Alexandria via LeMat-Bulk describes FeTc2Br after structural relaxation. The functional is PBE.

Summary:
- Space group: C2/m, No. 12
- Total moment: 2.3 μB/cell

abc: 4.2046 4.2046 7.6068
angles: 117.63 117.63 41.21
Last column: nearest neighbours and their distance in Å.
Element x y z (fractional)
Fe  0.0000  0.0000  0.0000  6 Tc 2.48
Tc  0.2100  0.2100  0.8416  3 Fe 2.48, 2 Tc 2.62, 2 Br 2.72
Tc  0.7900  0.7900  0.1584  3 Fe 2.48, 2 Tc 2.62, 2 Br 2.72
Br  0.5000  0.5000  0.5000  4 Tc 2.72, 2 Br 2.96

This record from Alexandria via LeMat-Bulk describes Ho5Te after structural relaxation. The functional is PBE.

Summary:
- Space group: Cmmm, No. 65
- Total moment: 0.0 μB/cell

abc: 7.8783 7.8783 4.8681
angles: 90.00 90.00 145.10
Last column: nearest neighbours and their distance in Å.
Element x y z (fractional)
Ho  0.0000  0.0000  0.0000  4 Te 3.39, 8 Ho 3.46-3.47
Ho  0.1637  0.8363  0.5000  10 Ho 3.39-3.51, 2 Te 3.41
Ho  0.3313  0.6687  0.0000  10 Ho 3.39-3.50, 2 Te 3.52
Ho  0.6687  0.3313  0.0000  10 Ho 3.39-3.50, 2 Te 3.52
Ho  0.8363  0.1637  0.5000  10 Ho 3.39-3.51, 2 Te 3.41
Te  0.5000  0.5000  0.5000  12 Ho 3.39-3.52

This record from Alexandria via LeMat-Bulk describes HgIrPdO6 after structural relaxation. The functional is PBE.

Summary:
- Space group: P-31c, No. 163
- Total moment: 3.1 μB/cell

abc: 5.3039 5.3039 9.6728
angles: 90.00 90.00 120.00
Last column: nearest neighbours and their distance in Å.
Element x y z (fractional)
Hg  0.0000  0.0000  0.0000  6 O 2.39
Hg  0.0000  0.0000  0.5000  6 O 2.39
Ir  0.3333  0.6667  0.2500  6 O 1.95
Ir  0.6667  0.3333  0.7500  6 O 1.95
Pd  0.3333  0.6667  0.7500  6 O 2.02
Pd  0.6667  0.3333  0.2500  6 O 2.02
O  0.0103  0.3788  0.1388  1 Ir 1.95, 1 Pd 2.02
O  0.0103  0.6314  0.3612  1 Ir 1.95, 1 Pd 2.02
O  0.3686  0.3788  0.3612  1 Ir 1.95, 1 Pd 2.02
O  0.3686  0.9897  0.1388  1 Ir 1.95, 1 Pd 2.02
O  0.3788  0.0103  0.6388  1 Ir 1.95, 1 Pd 2.02
O  0.3788  0.3686  0.8612  1 Ir 1.95, 1 Pd 2.02
O  0.6212  0.6314  0.1388  1 Ir 1.95, 1 Pd 2.02
O  0.6212  0.9897  0.3612  1 Ir 1.95, 1 Pd 2.02
O  0.6314  0.0103  0.8612  1 Ir 1.95, 1 Pd 2.02
O  0.6314  0.6212  0.6388  1 Ir 1.95, 1 Pd 2.02
O  0.9897  0.3686  0.6388  1 Ir 1.95, 1 Pd 2.02
O  0.9897  0.6212  0.8612  1 Ir 1.95, 1 Pd 2.02

Number 1: uncorrected formation energy 0.663 eV/atom. Number 2: uncorrected formation energy -0.265 eV/atom. Number 3: uncorrected formation energy -0.393 eV/atom.